Density functional theory data (PBE) for a geometry-optimized Lu2AlSn structure.

Calculated values
Energy of formation from the pure elements (eV per atom): -0.45
Uncorrected energy (eV/atom): -4.64
V (Å³ per atom): 23.681

extended XYZ file:
```
4
Lattice="4.2449 0.0000 0.0000 0.0000 4.7239 0.0000 0.0000 0.0000 4.7239" Properties=species:S:1:pos:R:3 pbc="T T T"
Lu 0.0000 0.0000 2.3619
Lu 0.0000 2.3619 0.0000
Sn 2.1224 0.0000 0.0000
Al 2.1224 2.3619 2.3619
```